(1)
A plane-wave DFT calculation with PBE was carried out for a relaxed structure of CdCuTc2.

Properties
D(E_F): 0.74 states/eV per atom
Space-group type: P4mm, No. 99
Energy of formation from the pure elements: 0.71 eV/f.u.

Cell lengths 2.9862, 2.9862, 7.0403 Å; angles 90.00, 90.00, 90.00 degrees
Fractional coordinates of all 4 atoms:
1 Cd 0.0000 0.0000 0.5142
2 Cu 0.5000 0.5000 0.7666
3 Tc 0.0000 0.0000 0.0094
4 Tc 0.5000 0.5000 0.2098

---

(2)
A plane-wave DFT calculation with PBE was carried out for a relaxed structure of TaNi2HAu.

Properties
D(E_F): 1.38 states/eV per atom
Space-group type: P4/mmm, No. 123
Final energy: -29.84 eV for the cell shown

Cell lengths 3.9525, 3.9525, 3.8423 Å; angles 90.00, 90.00, 90.00 degrees
Each line ends with the local moment (μB).
Fractional coordinates of all 5 atoms:
1 Ni 0.0000 0.5000 0.0000  0.13
2 Ni 0.5000 0.0000 0.0000  0.13
3 Au 0.5000 0.5000 0.5000  0.02
4 H 0.0000 0.0000 0.0000  0.00
5 Ta 0.0000 0.0000 0.5000  0.07